(1)
ZnCo3W | GGA-PBE | relaxed

a = 4.1945 Å, b = 4.1945 Å, c = 4.1945 Å
α = 90.00°, β = 90.00°, γ = 90.00°
Space group Pm-3m (No. 221)
Inequivalent atoms, fractional coordinates:
Zn 0.0000 0.0000 0.0000
Co 0.0000 0.0000 0.5000
W 0.5000 0.5000 0.5000

## Properties
E_tot = -5.67 eV/atom
energy relative to the elements = 1.437 eV per atom
total magnetization = 4.55 μB per cell

(2)
As3OsBr | GGA-PBE | relaxed

a = 4.8509 Å, b = 4.8509 Å, c = 4.8509 Å
α = 90.00°, β = 90.00°, γ = 90.00°
Space group Pm-3m (No. 221)
Inequivalent atoms, fractional coordinates:
As 0.0000 0.0000 0.5000
Os 0.5000 0.5000 0.5000
Br 0.0000 0.0000 0.0000

## Properties
energy relative to the elements, uncorrected = 2059 meV/atom
E_tot = -3.31 eV/atom
total magnetization = 0.46 μB per cell

(3)
Sm2SnAu4 | GGA-PBE | relaxed

a = 4.5798 Å, b = 4.5798 Å, c = 29.1766 Å
α = 90.00°, β = 90.00°, γ = 120.00°
Space group R-3m (No. 166, hexagonal axes)
Inequivalent atoms, fractional coordinates:
Sm 0.0000 0.0000 0.2458
Sn 0.0000 0.0000 0.0000
Au 0.0000 0.0000 0.1411
Au 0.0000 0.0000 0.3702

## Properties
E_tot = -4.39 eV/atom
energy relative to the elements = -0.597 eV per atom
total magnetization = 0.00 μB per cell

(4)
Ba3MoBr | GGA-PBE | relaxed

a = 5.9973 Å, b = 5.9973 Å, c = 5.9973 Å
α = 90.00°, β = 90.00°, γ = 90.00°
Space group Pm-3m (No. 221)
Inequivalent atoms, fractional coordinates:
Ba 0.0000 0.0000 0.5000
Mo 0.0000 0.0000 0.0000
Br 0.5000 0.5000 0.5000

## Properties
energy relative to the elements, uncorrected = 184 meV/atom
E_tot = -3.47 eV/atom
total magnetization = 0.00 μB per cell